# 1
{"formula": "MnAgCl2", "functional": "PBE-GGA", "state": "relaxed", "relative_energy_ev_per_atom": 0.224, "magnetic_moment_mub_per_cell": 9.02, "dos_at_fermi_per_ev_cell": 5.7, "energy_ev_per_cell": -33.458, "lattice_angstrom": [[-3.1171, 3.1171, 5.4817], [3.1171, -3.1171, 5.4817], [3.1171, 3.1171, -5.4817]], "species": ["Mn", "Mn", "Ag", "Ag", "Cl", "Cl", "Cl", "Cl"], "frac_coords": [[0.0000, 0.0000, 0.0000], [0.7500, 0.2500, 0.5000], [0.2500, 0.7500, 0.5000], [0.5000, 0.5000, 0.0000], [0.0737, 0.6250, 0.9487], [0.3750, 0.3237, 0.4487], [0.6763, 0.1250, 0.0513], [0.8750, 0.9263, 0.5513]]}



# 2
{"formula": "Li2MgCu9", "functional": "PBE-GGA", "state": "relaxed", "magnetic_moment_mub_per_cell": 0.00, "dos_at_fermi_per_ev_cell": 6.4, "energy_ev_per_cell": -85.026, "lattice_angstrom": [[8.2770, 0.0000, 0.0000], [0.0000, 8.2770, 0.0000], [0.0000, 0.0000, 4.8054]], "species": ["Li", "Li", "Li", "Li", "Mg", "Mg", "Cu", "Cu", "Cu", "Cu", "Cu", "Cu", "Cu", "Cu", "Cu", "Cu", "Cu", "Cu", "Cu", "Cu", "Cu", "Cu", "Cu", "Cu"], "frac_coords": [[0.1185, 0.3815, 0.0000], [0.3815, 0.8815, 0.0000], [0.6185, 0.1185, 0.0000], [0.8815, 0.6185, 0.0000], [0.0000, 0.0000, 0.0000], [0.5000, 0.5000, 0.0000], [0.0000, 0.5000, 0.5000], [0.0587, 0.2046, 0.5000], [0.1805, 0.6805, 0.2428], [0.1805, 0.6805, 0.7572], [0.2046, 0.9413, 0.5000], [0.2954, 0.4413, 0.5000], [0.3195, 0.1805, 0.2428], [0.3195, 0.1805, 0.7572], [0.4413, 0.7046, 0.5000], [0.5000, 0.0000, 0.5000], [0.5587, 0.2954, 0.5000], [0.6805, 0.8195, 0.2428], [0.6805, 0.8195, 0.7572], [0.7046, 0.5587, 0.5000], [0.7954, 0.0587, 0.5000], [0.8195, 0.3195, 0.2428], [0.8195, 0.3195, 0.7572], [0.9413, 0.7954, 0.5000]]}



# 3
{"formula": "TmTiGa", "functional": "PBE-GGA", "state": "relaxed", "relative_energy_ev_per_atom": 0.230, "magnetic_moment_mub_per_cell": 0.00, "dos_at_fermi_per_ev_cell": 2.5, "energy_ev_per_cell": -15.939, "lattice_angstrom": [[4.5521, 0.0000, 0.0000], [-2.2760, 3.9422, 0.0000], [0.0000, 0.0000, 3.5440]], "species": ["Tm", "Ti", "Ga"], "frac_coords": [[0.0000, 0.0000, 0.0000], [0.6667, 0.3333, 0.5000], [0.3333, 0.6667, 0.5000]]}